{"formula": "NiH3Pd", "functional": "PBE-GGA", "state": "optimized geometry", "sg": "P-6m2 (187)", "final_energy_ev_per_atom": -4.09, "lattice": [[2.560, 0.000, 0.000], [0.000, 4.017, 2.310], [0.000, 0.007, 4.632]], "species": ["Ni", "H", "H", "H", "Pd"], "fractional_positions": [[0.220, 0.099, 0.062], [0.720, 0.250, 0.763], [0.720, 0.248, 0.213], [0.720, 0.800, 0.211], [0.220, 0.433, 0.395]]}



{"formula": "CePmAlTl", "functional": "PBE-GGA", "state": "optimized geometry", "sg": "F-43m (216)", "final_energy_ev_per_atom": -4.46, "delta_e_f_mev_per_atom": -264, "lattice": [[-1.885, -1.233, 4.885], [-1.468, -5.053, 1.120], [2.966, -2.983, 3.354]], "species": ["Tl", "Al", "Ce", "Pm"], "fractional_positions": [[0.500, 0.500, 0.500], [0.000, 0.000, 0.000], [0.750, 0.750, 0.750], [0.250, 0.250, 0.250]]}



{"formula": "CaAcCu2O5", "functional": "PBE-GGA", "state": "optimized geometry", "sg": "P4/mmm (123)", "formation_energy_uncorrected_ev_per_atom": -1.87, "final_energy_ev_per_atom": -6.21, "lattice": [[3.887, 0.000, 0.000], [0.000, 3.887, 0.000], [0.000, 0.000, 7.229]], "species": ["Ca", "Ac", "Cu", "Cu", "O", "O", "O", "O", "O"], "fractional_positions": [[0.000, 0.000, 0.000], [0.000, 0.000, 0.500], [0.500, 0.500, 0.218], [0.500, 0.500, 0.782], [0.000, 0.500, 0.216], [0.500, 0.000, 0.216], [0.000, 0.500, 0.784], [0.500, 0.000, 0.784], [0.500, 0.500, 0.500]]}



{"formula": "Ti2InSnAu", "functional": "PBE-GGA", "state": "optimized geometry", "sg": "P4/mmm (123)", "final_energy_ev_per_atom": -4.42, "delta_e_f_mev_per_atom": 746, "lattice": [[5.108, 0.000, 0.000], [0.000, 5.049, 0.000], [0.000, 0.000, 5.108]], "species": ["Ti", "Ti", "Au", "Sn", "In"], "fractional_positions": [[0.000, 0.000, 0.500], [0.500, 0.000, 0.000], [0.000, 0.500, 0.000], [0.000, 0.000, 0.000], [0.500, 0.500, 0.500]]}



{"formula": "Tb2CeHfN4", "functional": "PBE-GGA", "state": "optimized geometry", "sg": "P2/m (10)", "formation_energy_uncorrected_ev_per_atom": -1.65, "final_energy_ev_per_atom": -8.96, "lattice": [[3.423, 0.000, 0.000], [0.000, 5.969, 0.129], [0.000, -2.063, 5.563]], "species": ["Tb", "Tb", "Ce", "Hf", "N", "N", "N", "N"], "fractional_positions": [[0.500, 0.000, 0.500], [0.000, 0.500, 0.500], [0.500, 0.500, 0.000], [0.000, 0.000, 0.000], [0.500, 0.230, 0.229], [0.500, 0.770, 0.771], [0.000, 0.235, 0.763], [0.000, 0.765, 0.237]]}



{"formula": "Tb2Nd3In6", "functional": "PBE-GGA", "state": "optimized geometry", "sg": "I4/mmm (139)", "final_energy_ev_per_atom": -3.60, "delta_e_f_mev_per_atom": 31, "lattice": [[5.868, 0.000, 0.000], [0.000, 5.868, 0.000], [-2.934, -2.934, 11.234]], "species": ["Tb", "Tb", "Nd", "Nd", "Nd", "In", "In", "In", "In", "In", "In"], "fractional_positions": [[0.428, 0.428, 0.855], [0.572, 0.572, 0.145], [0.000, 0.000, 0.000], [0.849, 0.849, 0.697], [0.151, 0.151, 0.303], [0.073, 0.573, 0.146], [0.573, 0.073, 0.146], [0.927, 0.427, 0.854], [0.427, 0.927, 0.854], [0.708, 0.708, 0.416], [0.292, 0.292, 0.584]]}